Entry 1:
Compound: NdPu3Th4S8
Source: the Alexandria database
Functional: GGA-PBE
Structure: relaxed

Formation energy from raw total energies in eV/atom: -1.8488
Magnetization in μB/cell: 48.28

Cell lengths 7.9749, 7.9749, 19.8347 Å; angles 90.00, 90.00, 120.00 degrees
Last column: nearest neighbours and their distance in Å.
Space group R-3m (No. 166, hexagonal axes)
Symmetry-distinct sites (fractional):
Nd1 0.0000 0.0000 0.0000 [3 per cell]  6 S 2.83
Pu1 0.0000 0.5000 0.0000 [9 per cell]  6 S 2.79
Th1 0.0000 0.0000 0.5000 [3 per cell]  6 S 2.84
Th2 0.0000 0.5000 0.5000 [9 per cell]  6 S 2.88
S1 0.0000 0.0000 0.2541 [6 per cell]  3 Pu 2.79, 3 Th 2.88
S2 0.0046 0.5023 0.2525 [18 per cell]  2 Pu 2.79, 1 Nd 2.83, 3 Th 2.84-2.88


Entry 2:
Compound: NdPu2ThS4
Source: the Alexandria database
Functional: GGA-PBE
Structure: relaxed

Formation energy from raw total energies in eV/atom: -1.8649
Magnetization in μB/cell: 11.19

Cell lengths 6.9233, 3.9831, 6.9595 Å; angles 90.00, 109.24, 90.00 degrees
Last column: nearest neighbours and their distance in Å.
Space group P2/m (No. 10)
Symmetry-distinct sites (fractional):
Nd1 0.0000 0.0000 0.0000 [1 per cell]  6 S 2.87
Pu1 0.0000 0.5000 0.5000 [1 per cell]  6 S 2.79
Pu2 0.5000 0.0000 0.5000 [1 per cell]  6 S 2.79
Th1 0.5000 0.5000 0.0000 [1 per cell]  6 S 2.87
S1 0.2466 0.0000 0.7392 [2 per cell]  3 Pu 2.79, 2 Th 2.87, 1 Nd 2.87
S2 0.2543 0.5000 0.2605 [2 per cell]  3 Pu 2.79, 1 Th 2.87, 2 Nd 2.87


Entry 3:
Compound: NdPuTh2S4
Source: the Alexandria database
Functional: GGA-PBE
Structure: relaxed

Formation energy from raw total energies in eV/atom: -1.8716
Magnetization in μB/cell: 5.48

Cell lengths 6.9409, 4.0096, 7.0236 Å; angles 90.00, 109.27, 90.00 degrees
Last column: nearest neighbours and their distance in Å.
Space group P2/m (No. 10)
Symmetry-distinct sites (fractional):
Nd1 0.0000 0.0000 0.0000 [1 per cell]  6 S 2.84-2.85
Pu1 0.5000 0.5000 0.0000 [1 per cell]  6 S 2.81
Th1 0.0000 0.5000 0.5000 [1 per cell]  6 S 2.88-2.89
Th2 0.5000 0.0000 0.5000 [1 per cell]  6 S 2.85
S1 0.2531 0.5000 0.2470 [2 per cell]  1 Pu 2.81, 2 Nd 2.85, 3 Th 2.85-2.88
S2 0.2568 0.0000 0.7572 [2 per cell]  2 Pu 2.81, 1 Nd 2.84, 3 Th 2.85-2.89


Entry 4:
Compound: Nd3PuTh4S8
Source: the Alexandria database
Functional: GGA-PBE
Structure: relaxed

Formation energy from raw total energies in eV/atom: -1.9011
Magnetization in μB/cell: 16.50

Cell lengths 8.0373, 8.0373, 19.9951 Å; angles 90.00, 90.00, 120.00 degrees
Last column: nearest neighbours and their distance in Å.
Space group R-3m (No. 166, hexagonal axes)
Symmetry-distinct sites (fractional):
Nd1 0.0000 0.5000 0.0000 [9 per cell]  6 S 2.86
Pu1 0.0000 0.0000 0.0000 [3 per cell]  6 S 2.82
Th1 0.0000 0.0000 0.5000 [3 per cell]  6 S 2.89
Th2 0.0000 0.5000 0.5000 [9 per cell]  6 S 2.86
S1 0.0000 0.0000 0.2500 [6 per cell]  3 Nd 2.86, 3 Th 2.86
S2 0.0039 0.5020 0.7490 [18 per cell]  1 Pu 2.82, 2 Nd 2.86, 3 Th 2.86-2.89


Entry 5:
Compound: Nd2Pu3ThS6
Source: the Alexandria database
Functional: GGA-PBE
Structure: relaxed

Formation energy from raw total energies in eV/atom: -1.8817
Magnetization in μB/cell: 33.70

Cell lengths 17.4743, 3.9877, 8.0444 Å; angles 90.00, 103.55, 90.00 degrees
Last column: nearest neighbours and their distance in Å.
Space group C2/m (No. 12)
Symmetry-distinct sites (fractional):
Nd1 0.1664 0.0000 0.3331 [4 per cell]  6 S 2.87-2.88
Pu1 0.0000 0.5000 0.5000 [2 per cell]  6 S 2.79-2.80
Pu2 0.1670 0.0000 0.8342 [4 per cell]  6 S 2.79
Th1 0.0000 0.5000 0.0000 [2 per cell]  6 S 2.87
S1 0.0027 0.0000 0.7443 [4 per cell]  3 Pu 2.79, 2 Th 2.87, 1 Nd 2.87
S2 0.1647 0.5000 0.5900 [4 per cell]  3 Pu 2.79-2.80, 3 Nd 2.87-2.88
S3 0.1689 0.5000 0.0776 [4 per cell]  3 Pu 2.79, 1 Th 2.87, 2 Nd 2.87


Entry 6:
Compound: Nd2TmPuS4
Source: the Alexandria database
Functional: GGA-PBE
Structure: relaxed

Formation energy from raw total energies in eV/atom: -1.9549
Magnetization in μB/cell: 5.65

Cell lengths 6.8886, 3.9573, 6.9455 Å; angles 90.00, 109.05, 90.00 degrees
Last column: nearest neighbours and their distance in Å.
Space group P2/m (No. 10)
Symmetry-distinct sites (fractional):
Nd1 0.0000 0.0000 0.0000 [1 per cell]  6 S 2.86
Nd2 0.5000 0.5000 0.0000 [1 per cell]  6 S 2.89-2.90
Tm1 0.0000 0.5000 0.5000 [1 per cell]  6 S 2.74
Pu1 0.5000 0.0000 0.5000 [1 per cell]  6 S 2.78
S1 0.2395 0.0000 0.7330 [2 per cell]  2 Tm 2.74, 1 Pu 2.78, 3 Nd 2.86-2.90
S2 0.2505 0.5000 0.2640 [2 per cell]  1 Tm 2.74, 2 Pu 2.78, 3 Nd 2.86-2.89


Entry 7:
Compound: NdTm2PuS4
Source: the Alexandria database
Functional: GGA-PBE
Structure: relaxed

Formation energy from raw total energies in eV/atom: -1.9382
Magnetization in μB/cell: 5.87

Cell lengths 6.7898, 3.8999, 6.8559 Å; angles 90.00, 109.01, 90.00 degrees
Last column: nearest neighbours and their distance in Å.
Space group P2/m (No. 10)
Symmetry-distinct sites (fractional):
Nd1 0.0000 0.0000 0.0000 [1 per cell]  6 S 2.85-2.86
Tm1 0.0000 0.5000 0.5000 [1 per cell]  6 S 2.74
Tm2 0.5000 0.0000 0.5000 [1 per cell]  6 S 2.71
Pu1 0.5000 0.5000 0.0000 [1 per cell]  6 S 2.82
S1 0.2493 0.0000 0.7365 [2 per cell]  3 Tm 2.71-2.74, 2 Pu 2.82, 1 Nd 2.85
S2 0.2596 0.5000 0.2670 [2 per cell]  3 Tm 2.71-2.74, 1 Pu 2.82, 2 Nd 2.86


Entry 8:
Compound: Nd2Tm3PuS6
Source: the Alexandria database
Functional: GGA-PBE
Structure: relaxed

Formation energy from raw total energies in eV/atom: -1.9603
Magnetization in μB/cell: 11.83

Cell lengths 17.2511, 3.8950, 7.9673 Å; angles 90.00, 104.52, 90.00 degrees
Last column: nearest neighbours and their distance in Å.
Space group C2/m (No. 12)
Symmetry-distinct sites (fractional):
Nd1 0.1657 0.0000 0.3320 [4 per cell]  6 S 2.85-2.88
Tm1 0.0000 0.5000 0.5000 [2 per cell]  6 S 2.71-2.74
Tm2 0.1669 0.0000 0.8361 [4 per cell]  6 S 2.70-2.74
Pu1 0.0000 0.5000 0.0000 [2 per cell]  6 S 2.83
S1 0.0048 0.0000 0.7450 [4 per cell]  3 Tm 2.71-2.74, 2 Pu 2.83, 1 Nd 2.85
S2 0.1622 0.5000 0.5959 [4 per cell]  3 Tm 2.71-2.72, 3 Nd 2.88
S3 0.1692 0.5000 0.0718 [4 per cell]  3 Tm 2.70-2.74, 1 Pu 2.83, 2 Nd 2.86